InGaCuBi2 | PBE | optimized geometry

Computed properties:
Total DFT energy (no corrections) = -2.851 eV/atom
Size of the total moment = 0.000 μB/f.u.
Energy of formation = 0.673 eV per atom

Structure (CIF):
```
data_InGaCuBi2
_chemical_formula_sum 'In1 Ga1 Cu1 Bi2'
_cell_length_a 5.845
_cell_length_b 5.845
_cell_length_c 4.852
_cell_angle_alpha 90.00
_cell_angle_beta 90.00
_cell_angle_gamma 90.00
_space_group_name_H-M_alt 'P 4/m m m'
_space_group_IT_number 123
_space_group_name_Hall '-P 4 2'
loop_
_atom_site_label
_atom_site_type_symbol
_atom_site_fract_x
_atom_site_fract_y
_atom_site_fract_z
_atom_site_occupancy
In1 In 0.000 0.000 0.000 1
Ga1 Ga 0.500 0.500 0.500 1
Cu1 Cu 0.000 0.000 0.500 1
Bi1 Bi 0.000 0.500 0.000 1
```